This record from Alexandria via LeMat-Bulk describes a relaxed structure of BaZrCoB2. The functional is PBE-GGA.

```
BaZrCoB2
1.0
4.542 0.000 0.000
0.000 6.003 0.000
0.000 0.000 4.542
B Ba Co Zr
2 1 1 1
Direct
0.000 0.000 0.500
0.500 0.000 0.000
0.000 0.500 0.000
0.500 0.500 0.500
0.000 0.000 0.000
```

Results
Symmetry: P4/mmm, No. 123

This record from Alexandria via LeMat-Bulk describes a relaxed structure of BaCrB2. The functional is PBE-GGA.

```
BaCrB2
1.0
0.000 3.193 3.193
3.193 0.000 3.193
3.193 3.193 0.000
B Ba Cr
2 1 1
Direct
0.750 0.750 0.750
0.250 0.250 0.250
0.500 0.500 0.500
0.000 0.000 0.000
```

Results
Symmetry: Fm-3m, No. 225

This record from Alexandria via LeMat-Bulk describes a relaxed structure of BaCrB2. The functional is PBE-GGA.

```
BaCrB2
1.0
5.366 0.000 0.000
0.000 5.366 0.000
2.683 2.683 5.683
B Ba Cr
4 2 2
Direct
0.375 0.626 0.750
0.376 0.625 0.250
0.875 0.624 0.750
0.374 0.125 0.250
0.000 0.000 0.000
0.750 0.250 0.500
0.250 0.750 0.500
0.500 0.500 0.000
```

Results
Symmetry: I4_1/amd, No. 141

This record from Alexandria via LeMat-Bulk describes a relaxed structure of Ba2Cr2B. The functional is PBE-GGA.

```
Ba2Cr2B
1.0
8.480 0.000 0.000
0.000 8.480 0.000
0.000 0.000 4.753
Ba Cr B
4 4 2
Direct
0.701 0.201 0.000
0.201 0.299 0.000
0.799 0.701 0.000
0.299 0.799 0.000
0.427 0.073 0.500
0.073 0.573 0.500
0.573 0.927 0.500
0.927 0.427 0.500
0.500 0.500 0.000
0.000 0.000 0.000
```

Results
Symmetry: P4/mbm, No. 127

This record from Alexandria via LeMat-Bulk describes a relaxed structure of BaCr2B. The functional is PBE-GGA.

```
BaCr2B
1.0
6.473 0.000 0.000
0.000 6.473 0.000
3.236 3.236 4.574
Cr Ba B
4 2 2
Direct
0.375 0.625 0.250
0.875 0.625 0.750
0.375 0.125 0.250
0.375 0.625 0.750
0.000 0.000 0.000
0.750 0.250 0.500
0.500 0.500 0.000
0.250 0.750 0.500
```

Results
Symmetry: Fd-3m, No. 227

This record from Alexandria via LeMat-Bulk describes a relaxed structure of Ba3CrB. The functional is PBE-GGA.

```
Ba3CrB
1.0
-3.897 -0.242 4.476
3.520 -3.838 2.857
2.776 4.527 2.662
Ba B Cr
3 1 1
Direct
0.500 0.000 0.000
0.000 0.000 0.500
0.000 0.500 0.000
0.000 0.000 0.000
0.500 0.500 0.500
```

Results
Symmetry: Pm-3m, No. 221

This record from Alexandria via LeMat-Bulk describes a relaxed structure of Ba2Cr2B. The functional is PBE-GGA.

```
Ba2Cr2B
1.0
3.341 0.000 0.000
0.000 3.341 0.000
1.670 1.670 10.294
Cr Ba B
2 2 1
Direct
0.750 0.250 0.500
0.250 0.750 0.500
0.407 0.407 0.187
0.593 0.593 0.813
0.000 0.000 0.000
```

Results
Symmetry: I4/mmm, No. 139

no.,energy of formation (eV per atom)
1,1.8719
2,1.8469
3,0.6008
4,1.5509
5,0.7999
6,0.7748
7,1.0743